An optimized crystal structure of LiHfAuS3, computed with PBE.

Summary:
* ΔE to the lowest computed polymorph: 73 meV/atom
* E: -33.75 eV per formula unit
* symmetry: No. 63

Lattice parameters (Å, degrees): 9.880 6.836 6.836 148.48 90.00 90.00
Positions (direct):
S: 0.485 0.636 0.364
S: 0.015 0.636 0.364
S: 0.250 0.948 0.052
Li: 0.750 0.683 0.317
Li: 0.250 0.317 0.683
Au: 0.750 0.356 0.644
Hf: 0.500 0.000 0.000
S: 0.515 0.364 0.636
S: 0.985 0.364 0.636
Au: 0.250 0.644 0.356
S: 0.750 0.052 0.948
Hf: 0.000 0.000 0.000